Entry 1:
{
  "formula": "TlNiO",
  "functional": "PBE with a Hubbard U",
  "state": "relaxed",
  "energy_ev_per_atom": -3.676,
  "magnetic_moment_mub_per_atom": 0.55,
  "lattice_angstrom": [[-2.0254, 1.5819, 3.0673], [-1.3500, -3.6945, 1.0139], [6.8774, 2.4031, 3.3019]],
  "species": ["O", "O", "Ni", "Ni", "Tl", "Tl"],
  "frac_coords": [[0.2500, 0.7368, 0.4852], [0.7500, 0.2632, 0.5148], [0.2500, 0.2309, 0.4798], [0.7500, 0.7691, 0.5202], [0.2500, 0.3594, 0.1176], [0.7500, 0.6406, 0.8824]]
}



Entry 2:
{
  "formula": "MnFe2Pb2O3F12",
  "functional": "PBE with a Hubbard U",
  "state": "relaxed",
  "energy_ev_per_atom": -4.903,
  "magnetic_moment_mub_per_atom": 0.93,
  "lattice_angstrom": [[4.5195, -7.8792, 0.0000], [4.5195, 7.8792, 0.0000], [0.0000, 0.0000, 4.0183]],
  "species": ["Mn", "Fe", "Fe", "Pb", "Pb", "O", "O", "O", "F", "F", "F", "F", "F", "F", "F", "F", "F", "F", "F", "F"],
  "frac_coords": [[0.2374, 0.2374, 0.0000], [0.7612, 0.0000, 0.0000], [0.0000, 0.7612, 0.0000], [0.6684, 0.3320, 0.5000], [0.3320, 0.6684, 0.5000], [0.5674, 0.5674, 0.5000], [0.4341, 0.9936, 0.5000], [0.9936, 0.4341, 0.5000], [0.8277, 0.8277, 0.0000], [0.1760, 0.0040, 0.0000], [0.0040, 0.1760, 0.0000], [0.2373, 0.2373, 0.5000], [0.7638, 0.0018, 0.5000], [0.0018, 0.7638, 0.5000], [0.4670, 0.2953, 0.0000], [0.7071, 0.1788, 0.0000], [0.8200, 0.5272, 0.0000], [0.2953, 0.4670, 0.0000], [0.1788, 0.7071, 0.0000], [0.5272, 0.8200, 0.0000]]
}